Record 1
Below is crystalline Pr4TcPtCl2 at its relaxed geometry, with properties calculated at the PBE-GGA level.

abc: 3.9500 8.1447 7.2927
angles: 73.71 90.00 90.00
Closest atoms and distances in Å follow each position.
Fractional coordinates of all 8 atoms:
1 Pr 0.0000 0.7063 0.7387  1 Tc 2.74, 2 Pt 2.93
2 Pr 0.0000 0.2937 0.2613  1 Tc 2.74, 2 Pt 2.93
3 Pr 0.5000 0.7217 0.2529  1 Pt 2.92, 2 Tc 2.93, 3 Cl 3.18-3.27
4 Pr 0.5000 0.2783 0.7471  1 Pt 2.92, 2 Tc 2.93, 3 Cl 3.18-3.27
5 Tc 0.0000 0.5000 0.5000  6 Pr 2.74-2.93
6 Pt 0.5000 0.5000 0.0000  6 Pr 2.92-2.93
7 Cl 0.0000 0.0000 0.0000  6 Pr 3.18-3.45
8 Cl 0.5000 0.0000 0.5000  6 Pr 3.21-3.27

=====

Record 2
Below is crystalline Pr8Te4Pt3Cl at its relaxed geometry, with properties calculated at the PBE-GGA level.

abc: 8.6395 9.0190 8.6403
angles: 118.61 120.00 90.00
Closest atoms and distances in Å follow each position.
Fractional coordinates of all 16 atoms:
1 Pr 0.2477 0.7243 0.9767  2 Pt 2.97, 1 Cl 3.09, 3 Te 3.17-3.28
2 Pr 0.2477 0.7242 0.4954  2 Pt 2.97, 1 Cl 3.09, 3 Te 3.17-3.28
3 Pr 0.2632 0.2896 0.5263  3 Pt 2.95
4 Pr 0.7290 0.7243 0.9767  2 Pt 2.97, 1 Cl 3.09, 3 Te 3.17-3.28
5 Pr 0.2710 0.2757 0.0233  2 Pt 2.97, 1 Cl 3.09, 3 Te 3.17-3.28
6 Pr 0.7368 0.7104 0.4737  3 Pt 2.95
7 Pr 0.7523 0.2758 0.5046  2 Pt 2.97, 1 Cl 3.09, 3 Te 3.17-3.28
8 Pr 0.7523 0.2757 0.0233  2 Pt 2.97, 1 Cl 3.09, 3 Te 3.17-3.28
9 Te 0.5000 0.0000 0.0000  6 Pr 3.17
10 Te 0.5000 0.0000 0.5000  6 Pr 3.28-3.31
11 Te 0.0000 0.0000 0.0000  6 Pr 3.28-3.31
12 Te 0.0000 0.0000 0.5000  6 Pr 3.28-3.31
13 Pt 0.5000 0.5000 0.0000  6 Pr 2.95-2.97
14 Pt 0.5000 0.5000 0.5000  6 Pr 2.95-2.97
15 Pt 0.0000 0.5000 0.5000  6 Pr 2.95-2.97
16 Cl 0.0000 0.5000 0.0000  6 Pr 3.09

=====

Record 3
Below is crystalline Pr4Te2PtCl2 at its relaxed geometry, with properties calculated at the PBE-GGA level.

abc: 4.3254 9.4504 8.7082
angles: 122.75 90.00 103.23
Closest atoms and distances in Å follow each position.
Fractional coordinates of all 9 atoms:
1 Pr 0.7979 0.5957 0.7968  3 Cl 3.05-3.15, 1 Pt 3.11, 3 Te 3.18-3.32
2 Pr 0.2021 0.4043 0.2032  3 Cl 3.05-3.15, 1 Pt 3.11, 3 Te 3.18-3.32
3 Pr 0.5142 0.0283 0.2308  1 Cl 2.82, 2 Pt 2.86
4 Pr 0.4858 0.9717 0.7692  1 Cl 2.82, 2 Pt 2.86
5 Te 0.8415 0.6830 0.4747  5 Pr 3.18-3.32
6 Te 0.1585 0.3170 0.5253  5 Pr 3.18-3.32
7 Pt 0.0000 0.0000 0.0000  6 Pr 2.86-3.11
8 Cl 0.3329 0.6658 0.0772  4 Pr 2.82-3.15
9 Cl 0.6671 0.3342 0.9228  4 Pr 2.82-3.15

=====

Record 4
Below is crystalline PrThPtCl at its relaxed geometry, with properties calculated at the PBE-GGA level.

abc: 4.1822 4.1816 7.9958
angles: 90.00 105.16 120.00
Closest atoms and distances in Å follow each position.
Fractional coordinates of all 4 atoms:
1 Pr 0.4934 0.1447 0.6538  3 Pt 2.97, 3 Cl 3.29
2 Th 0.1074 0.9516 0.0743  3 Pt 2.83
3 Pt 0.3119 0.5539 0.8812  3 Th 2.83, 3 Pr 2.97
4 Cl 0.9652 0.3807 0.3604  3 Th 3.25-3.26, 3 Pr 3.29

=====

What did we get for energy relative to the elements, uncorrected? Answer: -971 -1305 -1465 -1200 meV per atom, in the order shown.